Record 1
DFT (PBE) results for a relaxed ZrAlPb3 crystal.

```
5
Lattice="5.664 0.000 0.000 0.000 5.664 0.000 0.000 0.000 5.664" Properties=species:S:1:pos:R:3 pbc="T T T"
Zr 0.000 0.000 0.000
Al 2.832 2.832 2.832
Pb 0.000 0.000 2.832
Pb 0.000 2.832 0.000
Pb 2.832 0.000 0.000
```

Properties
ΔH_f (0 K)   2.7 eV per formula unit
Offset from the most stable computed form   0 meV/atom


Record 2
DFT (PBE) results for a relaxed Hf3BS2 crystal.

```
24
Lattice="0.000 5.083 10.676 3.661 0.000 10.676 3.661 5.083 0.000" Properties=species:S:1:pos:R:3 pbc="T T T"
Hf 2.597 1.083 6.081
Hf 4.881 3.812 8.007
Hf 2.894 1.083 9.934
Hf 4.724 3.625 11.419
Hf 6.711 6.354 13.345
Hf 4.428 3.625 15.272
Hf 2.894 6.541 6.081
Hf 0.610 3.812 8.007
Hf 2.597 6.541 9.934
Hf 4.428 9.083 11.419
Hf 2.441 6.354 13.345
Hf 4.724 9.083 15.272
B 0.915 1.271 0.885
B 0.915 1.271 4.454
B 6.406 8.896 16.899
B 6.406 8.896 20.468
S 2.745 3.812 2.756
S 2.745 3.812 6.292
S 4.576 6.354 8.094
S 2.745 3.812 9.722
S 4.576 6.354 11.631
S 2.745 3.812 13.259
S 4.576 6.354 15.060
S 4.576 6.354 18.597
```

Properties
Energy relative to the elements, uncorrected   -1228 meV/atom


Record 3
DFT (PBE) results for a relaxed ZrBNF2 crystal.

```
5
Lattice="4.497 0.000 0.000 0.000 4.497 0.000 0.000 0.000 2.679" Properties=species:S:1:pos:R:3 pbc="T T T"
Zr 0.000 0.000 0.000
B 2.249 2.249 1.339
N 2.249 2.249 0.000
F 0.000 2.249 1.339
F 2.249 0.000 1.339
```

Properties
Offset from the most stable computed form   0 meV/atom
Energy relative to the elements, uncorrected   -1253 meV/atom


Record 4
DFT (PBE) results for a relaxed SrInGaAu3 crystal.

```
12
Lattice="3.104 -6.280 0.000 3.104 6.280 0.000 0.000 0.000 7.623" Properties=species:S:1:pos:R:3 pbc="T T T"
Sr 3.104 3.908 5.717
Sr 3.104 -3.908 1.906
In 3.104 4.664 1.906
In 3.104 -4.664 5.717
Ga 3.104 0.722 5.717
Ga 3.104 -0.722 1.906
Au 1.454 0.000 0.000
Au 1.454 0.000 3.811
Au 3.104 1.942 1.906
Au 3.104 -1.942 5.717
Au 4.753 0.000 0.000
Au 4.753 0.000 3.811
```

Properties
ΔH_f (0 K)   -2.3 eV per formula unit


Record 5
DFT (PBE) results for a relaxed Ce5Se5S2 crystal.

```
12
Lattice="6.884 -2.057 0.000 6.884 2.057 0.000 -3.462 0.000 11.656" Properties=species:S:1:pos:R:3 pbc="T T T"
Ce 0.000 0.000 0.000
Ce 0.107 0.000 4.842
Ce 3.619 0.000 2.287
Ce 6.686 0.000 9.369
Ce 10.199 0.000 6.813
Se 1.326 0.000 7.580
Se 1.391 0.000 11.049
Se 5.153 0.000 5.828
Se 8.915 0.000 0.606
Se 8.979 0.000 4.076
S -2.146 0.000 9.196
S 12.451 0.000 2.460
```

Properties
Energy relative to the elements, uncorrected   -1858 meV/atom


Record 6
DFT (PBE) results for a relaxed Cs4Pb9 crystal.

```
52
Lattice="10.266 0.000 0.000 0.000 14.969 0.000 -7.598 0.000 15.987" Properties=species:S:1:pos:R:3 pbc="T T T"
Cs 0.468 3.562 1.911
Cs -3.331 3.923 9.904
Cs -0.237 8.539 5.440
Cs -4.036 13.914 13.434
Cs 2.689 8.114 0.201
Cs -1.111 14.339 8.194
Cs -3.785 3.494 14.493
Cs 0.014 3.991 6.499
Cs 2.653 10.978 9.487
Cs 6.453 11.475 1.494
Cs 3.778 0.630 7.793
Cs -0.021 6.855 15.786
Cs 6.704 1.054 2.553
Cs 2.905 6.430 10.546
Cs 5.999 11.046 6.082
Cs 2.200 11.407 14.076
Pb -4.128 8.680 9.464
Pb -0.329 13.773 1.470
Pb -4.862 9.841 12.339
Pb -1.062 12.613 4.346
Pb 0.025 10.627 2.115
Pb -3.775 11.826 10.109
Pb -1.243 10.324 8.933
Pb 2.557 12.130 0.939
Pb 0.949 0.145 4.355
Pb -2.850 7.339 12.349
Pb 2.499 0.236 1.558
Pb -1.300 7.249 9.551
Pb -2.128 10.091 13.892
Pb 1.671 12.362 5.899
Pb 2.842 10.440 3.626
Pb -0.958 12.013 11.620
Pb -1.136 1.476 12.136
Pb 2.663 6.008 4.142
Pb 0.004 8.960 11.844
Pb 3.804 13.493 3.851
Pb 3.625 2.955 4.367
Pb -0.174 4.529 12.360
Pb 0.996 2.606 10.088
Pb 4.796 4.878 2.095
Pb 3.968 7.720 6.435
Pb 0.169 14.733 14.429
Pb 5.517 7.630 3.638
Pb 1.718 14.824 11.631
Pb 0.111 2.839 15.047
Pb 3.910 4.645 7.054
Pb 6.442 3.143 5.878
Pb 2.643 4.342 13.871
Pb 3.730 2.356 11.641
Pb 7.529 5.128 3.648
Pb 2.997 1.195 14.517
Pb 6.796 6.289 6.523
```

Properties
ΔH_f (0 K)   -2.7 eV per formula unit


Record 7
DFT (PBE) results for a relaxed HfMnTc2Pt crystal.

```
5
Lattice="4.738 0.000 0.000 0.000 4.738 0.000 0.000 0.000 4.430" Properties=species:S:1:pos:R:3 pbc="T T T"
Hf 0.000 0.000 0.000
Mn 2.369 2.369 0.000
Tc 0.000 2.369 2.215
Tc 2.369 0.000 2.215
Pt 2.369 2.369 2.215
```

Properties
ΔH_f (0 K)   7.3 eV per formula unit


Record 8
DFT (PBE) results for a relaxed Nb5CuIr4 crystal.

```
10
Lattice="2.871 0.000 0.000 0.000 2.871 0.000 0.000 0.000 19.517" Properties=species:S:1:pos:R:3 pbc="T T T"
Nb 0.000 0.000 0.000
Nb 0.000 0.000 3.922
Nb 0.000 0.000 7.804
Nb 0.000 0.000 11.713
Nb 0.000 0.000 15.594
Cu 1.435 1.435 9.758
Ir 1.435 1.435 1.945
Ir 1.435 1.435 5.891
Ir 1.435 1.435 13.625
Ir 1.435 1.435 17.571
```

Properties
ΔH_f (0 K)   -3.8 eV per formula unit